Record 1
A plane-wave DFT calculation with PBE with a Hubbard U was carried out for CsMn2P6O18 after structural relaxation.

abc: 6.409 8.689 8.689
angles: 104.25 103.83 103.83
Fractional coordinates of all 27 atoms:
O1 0.625 0.759 0.479
O2 0.625 0.479 0.759
O3 0.888 0.650 0.650
O4 0.961 0.186 0.519
O5 0.049 0.258 0.035
O6 0.049 0.035 0.258
O7 0.371 0.516 0.231
O8 0.371 0.231 0.516
O9 0.044 0.823 0.488
O10 0.667 0.189 0.737
O11 0.117 0.349 0.349
O12 0.961 0.519 0.186
O13 0.929 0.742 0.961
O14 0.336 0.257 0.809
O15 0.929 0.961 0.742
O16 0.667 0.737 0.189
O17 0.336 0.809 0.257
O18 0.044 0.488 0.823
P1 0.890 0.813 0.593
P2 0.500 0.712 0.283
P3 0.890 0.593 0.813
P4 0.107 0.407 0.186
P5 0.500 0.283 0.712
P6 0.107 0.186 0.407
Cs1 0.562 0.957 0.957
Mn1 0.004 0.775 0.227
Mn2 0.004 0.227 0.775


Record 2
A plane-wave DFT calculation with PBE with a Hubbard U was carried out for Cs2MnPO4 after structural relaxation.

abc: 5.458 6.910 11.786
angles: 84.75 76.61 66.74
Fractional coordinates of all 16 atoms:
O1 0.183 0.359 0.425
O2 0.784 0.859 0.925
O3 0.393 0.641 0.425
O4 0.966 0.641 0.575
O5 0.357 0.859 0.075
O6 0.459 0.359 0.575
O7 0.567 0.141 0.075
O8 0.291 0.141 0.925
P1 0.500 0.000 0.000
P2 0.250 0.500 0.500
Mn1 0.750 0.500 0.500
Mn2 0.000 0.000 0.000
Cs1 0.175 0.000 0.650
Cs2 0.575 0.500 0.850
Cs3 0.925 0.500 0.150
Cs4 0.825 0.000 0.350


Record 3
A plane-wave DFT calculation with PBE with a Hubbard U was carried out for Cs2MnP4O12 after structural relaxation.

abc: 8.131 11.714 13.509
angles: 90.00 90.00 102.03
Fractional coordinates of all 76 atoms:
O1 0.999 0.407 0.363
O2 0.291 0.250 0.092
O3 0.001 0.593 0.637
O4 0.797 0.385 0.514
O5 0.443 0.605 0.874
O6 0.439 0.228 0.251
O7 0.024 0.110 0.142
O8 0.557 0.395 0.126
O9 0.714 0.153 0.244
O10 0.976 0.890 0.858
O11 0.687 0.335 0.339
O12 0.943 0.105 0.626
O13 0.028 0.633 0.099
O14 0.057 0.895 0.374
O15 0.499 0.907 0.137
O16 0.842 0.894 0.034
O17 0.211 0.104 0.731
O18 0.786 0.347 0.744
O19 0.298 0.040 0.121
O20 0.528 0.133 0.401
O21 0.791 0.750 0.408
O22 0.297 0.885 0.986
O23 0.501 0.093 0.863
O24 0.214 0.653 0.256
O25 0.472 0.867 0.599
O26 0.798 0.540 0.379
O27 0.702 0.960 0.879
O28 0.524 0.610 0.358
O29 0.939 0.728 0.249
O30 0.972 0.367 0.901
O31 0.561 0.772 0.749
O32 0.289 0.396 0.231
O33 0.209 0.250 0.592
O34 0.202 0.460 0.621
O35 0.158 0.106 0.966
O36 0.313 0.665 0.661
O37 0.203 0.615 0.486
O38 0.342 0.394 0.466
O39 0.711 0.604 0.769
O40 0.286 0.847 0.756
O41 0.813 0.165 0.839
O42 0.187 0.835 0.161
O43 0.789 0.896 0.269
O44 0.061 0.272 0.751
O45 0.703 0.115 0.014
O46 0.709 0.750 0.908
O47 0.476 0.390 0.642
O48 0.658 0.606 0.534
Mn1 0.240 0.988 0.857
Mn2 0.260 0.512 0.357
Mn3 0.740 0.488 0.643
Mn4 0.760 0.012 0.143
P1 0.097 0.170 0.677
P2 0.176 0.121 0.076
P3 0.824 0.879 0.924
P4 0.831 0.413 0.407
P5 0.669 0.087 0.907
P6 0.403 0.330 0.177
P7 0.597 0.670 0.823
P8 0.098 0.701 0.188
P9 0.331 0.913 0.093
P10 0.902 0.299 0.812
P11 0.903 0.830 0.323
P12 0.402 0.799 0.688
P13 0.676 0.621 0.424
P14 0.598 0.201 0.312
P15 0.169 0.587 0.593
P16 0.324 0.379 0.576
Cs1 0.079 0.637 0.881
Cs2 0.088 0.157 0.376
Cs3 0.912 0.843 0.624
Cs4 0.579 0.137 0.619
Cs5 0.921 0.363 0.119
Cs6 0.412 0.343 0.876
Cs7 0.588 0.657 0.124
Cs8 0.421 0.863 0.381


Record 4
A plane-wave DFT calculation with PBE with a Hubbard U was carried out for CsMnPO2 after structural relaxation.

The energy relative to the lowest polymorph listed for this composition comes out at 5.32 eV/f.u.

abc: 4.201 4.201 6.983
angles: 90.00 90.00 90.00
Fractional coordinates of all 5 atoms:
O1 0.000 0.500 0.000
O2 0.500 0.000 0.000
Mn1 0.500 0.500 0.500
Cs1 0.000 0.000 0.000
P1 0.000 0.000 0.500


Record 5
A plane-wave DFT calculation with PBE with a Hubbard U was carried out for CsMn2P6O18 after structural relaxation.

abc: 5.307 9.275 9.099
angles: 89.42 74.77 74.34
Fractional coordinates of all 27 atoms:
O1 0.162 0.905 0.610
O2 0.513 0.273 0.901
O3 0.560 0.893 0.298
O4 0.838 0.095 0.390
O5 0.859 0.367 0.389
O6 0.189 0.470 0.193
O7 0.250 0.169 0.436
O8 0.696 0.613 0.313
O9 0.199 0.752 0.368
O10 0.440 0.107 0.702
O11 0.141 0.633 0.611
O12 0.196 0.610 0.882
O13 0.304 0.387 0.687
O14 0.487 0.727 0.099
O15 0.801 0.248 0.632
O16 0.750 0.831 0.564
O17 0.804 0.390 0.118
O18 0.811 0.530 0.807
Cs1 0.000 0.000 0.000
P1 0.054 0.793 0.547
P2 0.507 0.250 0.740
P3 0.493 0.750 0.260
P4 0.092 0.546 0.766
P5 0.907 0.454 0.234
P6 0.946 0.207 0.453
Mn1 0.500 0.500 0.000
Mn2 0.500 0.000 0.500


Record 6
A plane-wave DFT calculation with PBE with a Hubbard U was carried out for Cs2ZrMnP3O12 after structural relaxation.

abc: 10.387 10.387 10.387
angles: 90.00 90.00 90.00
Fractional coordinates of all 76 atoms:
O1 0.254 0.393 0.161
O2 0.047 0.782 0.235
O3 0.839 0.754 0.107
O4 0.554 0.775 0.001
O5 0.218 0.735 0.453
O6 0.446 0.275 0.499
O7 0.225 0.501 0.946
O8 0.017 0.061 0.334
O9 0.501 0.946 0.225
O10 0.735 0.453 0.218
O11 0.939 0.834 0.483
O12 0.393 0.161 0.254
O13 0.666 0.517 0.439
O14 0.334 0.017 0.061
O15 0.161 0.254 0.393
O16 0.561 0.166 0.983
O17 0.061 0.334 0.017
O18 0.246 0.607 0.661
O19 0.718 0.765 0.547
O20 0.166 0.983 0.561
O21 0.746 0.893 0.339
O22 0.725 0.999 0.054
O23 0.001 0.554 0.775
O24 0.999 0.054 0.725
O25 0.661 0.246 0.607
O26 0.054 0.725 0.999
O27 0.265 0.953 0.282
O28 0.775 0.001 0.554
O29 0.453 0.218 0.735
O30 0.782 0.235 0.047
O31 0.893 0.339 0.746
O32 0.547 0.718 0.765
O33 0.282 0.265 0.953
O34 0.983 0.561 0.166
O35 0.754 0.107 0.839
O36 0.339 0.746 0.893
O37 0.439 0.666 0.517
O38 0.953 0.282 0.265
O39 0.834 0.483 0.939
O40 0.607 0.661 0.246
O41 0.235 0.047 0.782
O42 0.275 0.499 0.446
O43 0.946 0.225 0.501
O44 0.107 0.839 0.754
O45 0.517 0.439 0.666
O46 0.499 0.446 0.275
O47 0.765 0.547 0.718
O48 0.483 0.939 0.834
P1 0.871 0.480 0.795
P2 0.371 0.020 0.205
P3 0.129 0.980 0.705
P4 0.705 0.129 0.980
P5 0.629 0.520 0.295
P6 0.295 0.629 0.520
P7 0.020 0.205 0.371
P8 0.795 0.871 0.480
P9 0.480 0.795 0.871
P10 0.205 0.371 0.020
P11 0.520 0.295 0.629
P12 0.980 0.705 0.129
Mn1 0.104 0.896 0.396
Mn2 0.896 0.396 0.104
Mn3 0.396 0.104 0.896
Mn4 0.604 0.604 0.604
Cs1 0.957 0.543 0.457
Cs2 0.318 0.682 0.182
Cs3 0.457 0.957 0.543
Cs4 0.043 0.043 0.043
Cs5 0.682 0.182 0.318
Cs6 0.818 0.818 0.818
Cs7 0.543 0.457 0.957
Cs8 0.182 0.318 0.682
Zr1 0.337 0.337 0.337
Zr2 0.163 0.663 0.837
Zr3 0.663 0.837 0.163
Zr4 0.837 0.163 0.663


| no. | raw total energy (eV per atom) |
| --- | --- |
| 1 | -7.218 |
| 2 | -6.053 |
| 3 | -6.968 |
| 4 | -3.883 |
| 5 | -7.218 |
| 6 | -7.306 |